A relaxed structure of LaZrHg2, computed with PBE-GGA.

abc: 7.466 7.466 7.466
angles: 90.00 90.00 90.00
Sites, in units of the cell vectors:
La (0.000, 0.000, 0.000)
La (0.000, 0.500, 0.500)
La (0.500, 0.000, 0.500)
La (0.500, 0.500, 0.000)
Zr (0.000, 0.000, 0.500)
Zr (0.000, 0.500, 0.000)
Zr (0.500, 0.000, 0.000)
Zr (0.500, 0.500, 0.500)
Hg (0.250, 0.250, 0.250)
Hg (0.250, 0.250, 0.750)
Hg (0.250, 0.750, 0.250)
Hg (0.250, 0.750, 0.750)
Hg (0.750, 0.250, 0.250)
Hg (0.750, 0.250, 0.750)
Hg (0.750, 0.750, 0.250)
Hg (0.750, 0.750, 0.750)

Output
**Energy of formation from the pure elements**: -0.8 eV per formula unit
**Volume**: 416.2 Å³/cell
**DOS at the Fermi energy**: 13.17 states/eV/cell
**Distance to the lowest polymorph of the same formula**: 0.29 eV/f.u.
**ρ**: 10.07 g/cm3